Record 1
A relaxed PrSm3Hg3 crystal, computed with PBE-GGA.

a = 10.6412 Å, b = 10.8513 Å, c = 7.2952 Å
α = 90.00°, β = 90.00°, γ = 90.00°
Space group Cmmm (No. 65)
Symmetry-distinct sites (fractional):
Pr: 0.2364 0.0000 0.0000 x4
Sm: 0.0000 0.2453 0.5000 x4
Sm: 0.0000 0.2507 0.0000 x4
Sm: 0.2398 0.0000 0.5000 x4
Hg: 0.0000 0.5000 0.2569 x4
Hg: 0.2500 0.2500 0.2543 x8

Results
Energy of formation from the pure elements = -7.1 kcal/mol of atoms
V = 30.1 Å³/atom

***

Record 2
A relaxed Pr7SmHg2 crystal, computed with PBE-GGA.

a = 9.3070 Å, b = 16.0076 Å, c = 5.4446 Å
α = 90.00°, β = 90.00°, γ = 90.00°
Space group Cmmm (No. 65)
Symmetry-distinct sites (fractional):
Pr: 0.0000 0.0000 0.0000 x2
Pr: 0.0000 0.2688 0.5000 x4
Pr: 0.1829 0.3803 0.0000 x8
Sm: 0.0000 0.5000 0.5000 x2
Hg: 0.0000 0.1941 0.0000 x4

Results
Energy of formation from the pure elements = 5.7 kcal/mol of atoms
V = 40.6 Å³/atom

***

Record 3
A relaxed Pr3Sm2Hg6 crystal, computed with PBE-GGA.

a = 4.5000 Å, b = 4.5000 Å, c = 33.9337 Å
α = 90.00°, β = 90.00°, γ = 90.00°
Space group I4/mmm (No. 139)
Symmetry-distinct sites (fractional):
Pr: 0.0000 0.0000 0.0000 x2
Pr: 0.0000 0.0000 0.1851 x4
Sm: 0.0000 0.0000 0.3707 x4
Hg: 0.0000 0.0000 0.2799 x4
Hg: 0.0000 0.5000 0.0671 x8

Results
Energy of formation from the pure elements = -4.2 kcal/mol of atoms
V = 31.2 Å³/atom

***

Record 4
A relaxed Pr5SmHg3 crystal, computed with PBE-GGA.

a = 9.4502 Å, b = 9.4502 Å, c = 7.1152 Å
α = 90.00°, β = 90.00°, γ = 120.00°
Space group P6_3/mcm (No. 193)
Symmetry-distinct sites (fractional):
Pr: 0.0000 0.3355 0.2500 x6
Pr: 0.3333 0.6667 0.0000 x4
Sm: 0.0000 0.0000 0.0000 x2
Hg: 0.0000 0.3285 0.7500 x6

Results
Energy of formation from the pure elements = -6.4 kcal/mol of atoms
V = 30.6 Å³/atom

***

Record 5
A relaxed PrSm5Hg3 crystal, computed with PBE-GGA.

a = 9.2984 Å, b = 9.2984 Å, c = 7.0852 Å
α = 90.00°, β = 90.00°, γ = 120.00°
Space group P6_3/mcm (No. 193)
Symmetry-distinct sites (fractional):
Pr: 0.0000 0.0000 0.0000 x2
Sm: 0.0000 0.3306 0.2500 x6
Sm: 0.3333 0.6667 0.0000 x4
Hg: 0.0000 0.3389 0.7500 x6

Results
Energy of formation from the pure elements = -6.4 kcal/mol of atoms
V = 29.5 Å³/atom

***

Record 6
A relaxed Pr12Sm3Hg crystal, computed with PBE-GGA.

a = 5.1405 Å, b = 5.1405 Å, c = 20.8846 Å
α = 90.00°, β = 90.00°, γ = 90.00°
Space group P4/mmm (No. 123)
Symmetry-distinct sites (fractional):
Pr: 0.0000 0.0000 0.0000 x1
Pr: 0.0000 0.0000 0.2443 x2
Pr: 0.0000 0.0000 0.5000 x1
Pr: 0.0000 0.5000 0.1199 x4
Pr: 0.0000 0.5000 0.3730 x4
Sm: 0.5000 0.5000 0.2464 x2
Sm: 0.5000 0.5000 0.5000 x1
Hg: 0.5000 0.5000 0.0000 x1

Results
Energy of formation from the pure elements = -0.6 kcal/mol of atoms
V = 34.5 Å³/atom

***

Record 7
A relaxed PrSm6Hg3 crystal, computed with PBE-GGA.

a = 11.5906 Å, b = 12.8092 Å, c = 8.5540 Å
α = 90.00°, β = 90.00°, γ = 90.00°
Space group Cmc2_1 (No. 36)
Symmetry-distinct sites (fractional):
Pr: 0.0000 0.1802 0.0000 x4
Sm: 0.0000 0.2715 0.4120 x4
Sm: 0.0000 0.4563 0.8062 x4
Sm: 0.1724 0.0614 0.3343 x8
Sm: 0.2496 0.1843 0.6882 x8
Hg: 0.0000 0.0781 0.6396 x4
Hg: 0.1880 0.4151 0.5358 x8

Results
Energy of formation from the pure elements = -4.2 kcal/mol of atoms
Offset from the most stable computed form = 0.000 eV per atom
V = 31.7 Å³/atom

***

Record 8
A relaxed Pr4Sm3Hg4 crystal, computed with PBE-GGA.

a = 3.7399 Å, b = 9.3618 Å, c = 19.4301 Å
α = 90.00°, β = 90.00°, γ = 90.00°
Space group Immm (No. 71)
Symmetry-distinct sites (fractional):
Pr: 0.0000 0.1807 0.1598 x8
Sm: 0.0000 0.0000 0.4017 x4
Sm: 0.0000 0.5000 0.5000 x2
Hg: 0.0000 0.2907 0.0000 x4
Hg: 0.0000 0.5000 0.2303 x4

Results
Energy of formation from the pure elements = -6.5 kcal/mol of atoms
V = 30.9 Å³/atom

***

Record 9
A relaxed Pr3SmHg2 crystal, computed with PBE-GGA.

a = 5.3294 Å, b = 9.7168 Å, c = 7.1771 Å
α = 90.00°, β = 90.00°, γ = 90.00°
Space group Pmc2_1 (No. 26)
Symmetry-distinct sites (fractional):
Pr: 0.0000 0.0552 0.0000 x2
Pr: 0.0000 0.3284 0.3385 x2
Pr: 0.5000 0.1751 0.6879 x2
Sm: 0.5000 0.4448 0.0279 x2
Hg: 0.0000 0.3520 0.7853 x2
Hg: 0.5000 0.1508 0.2433 x2

Results
Energy of formation from the pure elements = -7.5 kcal/mol of atoms
Offset from the most stable computed form = 0.000 eV per atom
V = 31.0 Å³/atom

***

Record 10
A relaxed Pr3Sm2Hg2 crystal, computed with PBE-GGA.

a = 3.7700 Å, b = 31.8992 Å, c = 3.7363 Å
α = 90.00°, β = 90.00°, γ = 90.00°
Space group Cmmm (No. 65)
Symmetry-distinct sites (fractional):
Pr: 0.0000 0.0000 0.0000 x2
Pr: 0.0000 0.4186 0.5000 x4
Sm: 0.0000 0.2976 0.5000 x4
Hg: 0.0000 0.1444 0.0000 x4

Results
Energy of formation from the pure elements = -4.4 kcal/mol of atoms
Offset from the most stable computed form = 0.035 eV per atom
V = 32.1 Å³/atom

***

Record 11
A relaxed PrSm7Hg4 crystal, computed with PBE-GGA.

a = 6.5592 Å, b = 6.6467 Å, c = 8.4445 Å
α = 80.25°, β = 78.04°, γ = 87.47°
Space group P-1 (No. 2)
Symmetry-distinct sites (fractional):
Pr: 0.0000 0.0000 0.0000 x1
Sm: 0.1224 0.3263 0.6327 x2
Sm: 0.2388 0.4688 0.0409 x2
Sm: 0.3411 0.8133 0.6480 x2
Sm: 0.5000 0.0000 0.0000 x1
Hg: 0.1680 0.0800 0.3351 x2
Hg: 0.4135 0.6345 0.3134 x2

Results
Energy of formation from the pure elements = -5.6 kcal/mol of atoms
V = 29.6 Å³/atom

***

Record 12
A relaxed Pr2Sm2Hg3 crystal, computed with PBE-GGA.

a = 5.3390 Å, b = 5.3390 Å, c = 25.9427 Å
α = 90.00°, β = 90.00°, γ = 120.00°
Space group R-3m (No. 166, hexagonal axes)
Symmetry-distinct sites (fractional):
Pr: 0.0000 0.0000 0.1276 x6
Sm: 0.0000 0.0000 0.3785 x6
Hg: 0.0000 0.0000 0.0000 x3
Hg: 0.0000 0.0000 0.2527 x6

Results
Energy of formation from the pure elements = -7.4 kcal/mol of atoms
V = 30.5 Å³/atom

***

Record 13
A relaxed Pr3Sm3Hg2 crystal, computed with PBE-GGA.

a = 5.3097 Å, b = 12.0827 Å, c = 16.0804 Å
α = 90.00°, β = 90.00°, γ = 90.00°
Space group Cmcm (No. 63)
Symmetry-distinct sites (fractional):
Pr: 0.0000 0.0387 0.1099 x8
Pr: 0.0000 0.2866 0.2500 x4
Sm: 0.0000 0.3593 0.0315 x8
Sm: 0.0000 0.4319 0.7500 x4
Hg: 0.0000 0.2278 0.6286 x8

Results
Energy of formation from the pure elements = -4.0 kcal/mol of atoms
V = 32.2 Å³/atom

***

Record 14
A relaxed Pr4SmHg crystal, computed with PBE-GGA.

a = 3.7373 Å, b = 3.7373 Å, c = 14.3518 Å
α = 90.00°, β = 90.00°, γ = 90.00°
Space group P4/mmm (No. 123)
Symmetry-distinct sites (fractional):
Pr: 0.0000 0.0000 0.1425 x2
Pr: 0.5000 0.5000 0.3227 x2
Sm: 0.0000 0.0000 0.5000 x1
Hg: 0.5000 0.5000 0.0000 x1

Results
Energy of formation from the pure elements = -3.4 kcal/mol of atoms
Offset from the most stable computed form = 0.000 eV per atom
V = 33.4 Å³/atom

***

Record 15
A relaxed Pr4Sm3Hg2 crystal, computed with PBE-GGA.

a = 16.4374 Å, b = 11.4583 Å, c = 6.1515 Å
α = 90.00°, β = 94.61°, γ = 90.00°
Space group C2/c (No. 15)
Symmetry-distinct sites (fractional):
Pr: 0.0474 0.1536 0.0228 x8
Pr: 0.2030 0.3801 0.9075 x8
Sm: 0.0000 0.4353 0.7500 x4
Sm: 0.1699 0.1136 0.5645 x8
Hg: 0.1208 0.3546 0.3713 x8

Results
Energy of formation from the pure elements = -2.8 kcal/mol of atoms
V = 32.1 Å³/atom

***

Record 16
A relaxed Pr2Sm4Hg crystal, computed with PBE-GGA.

a = 17.1986 Å, b = 3.6967 Å, c = 8.2887 Å
α = 90.00°, β = 116.73°, γ = 90.00°
Space group C2/m (No. 12)
Symmetry-distinct sites (fractional):
Pr: 0.2127 0.0000 0.1300 x4
Sm: 0.0571 0.5000 0.7428 x4
Sm: 0.1438 0.0000 0.4713 x4
Hg: 0.0000 0.0000 0.0000 x2

Results
Energy of formation from the pure elements = -0.9 kcal/mol of atoms
V = 33.6 Å³/atom

***

Record 17
A relaxed Pr5Sm4Hg4 crystal, computed with PBE-GGA.

a = 12.4329 Å, b = 12.4329 Å, c = 5.2763 Å
α = 90.00°, β = 90.00°, γ = 90.00°
Space group I4/m (No. 87)
Symmetry-distinct sites (fractional):
Pr: 0.0000 0.0000 0.0000 x2
Pr: 0.1187 0.1859 0.5000 x8
Sm: 0.0965 0.3931 0.0000 x8
Hg: 0.0954 0.7609 0.0000 x8

Results
Energy of formation from the pure elements = -7.0 kcal/mol of atoms
V = 31.4 Å³/atom

***

Record 18
A relaxed PrSm7Hg2 crystal, computed with PBE-GGA.

a = 9.2095 Å, b = 15.5351 Å, c = 5.4276 Å
α = 90.00°, β = 90.00°, γ = 90.00°
Space group Cmmm (No. 65)
Symmetry-distinct sites (fractional):
Pr: 0.0000 0.0000 0.0000 x2
Sm: 0.0000 0.2365 0.0000 x4
Sm: 0.0000 0.5000 0.5000 x2
Sm: 0.1825 0.1211 0.5000 x8
Hg: 0.0000 0.3058 0.5000 x4

Results
Energy of formation from the pure elements = 6.1 kcal/mol of atoms
V = 38.8 Å³/atom

***

Record 19
A relaxed PrSm5Hg2 crystal, computed with PBE-GGA.

a = 3.7771 Å, b = 10.5640 Å, c = 12.5044 Å
α = 90.00°, β = 90.00°, γ = 90.00°
Space group Immm (No. 71)
Symmetry-distinct sites (fractional):
Pr: 0.0000 0.0000 0.0000 x2
Sm: 0.0000 0.2202 0.3614 x8
Sm: 0.0000 0.5000 0.0000 x2
Hg: 0.0000 0.5000 0.2666 x4

Results
Energy of formation from the pure elements = -3.9 kcal/mol of atoms
V = 31.2 Å³/atom

***

Record 20
A relaxed PrSm4Hg3 crystal, computed with PBE-GGA.

a = 4.9836 Å, b = 4.9836 Å, c = 9.2285 Å
α = 90.00°, β = 90.00°, γ = 90.00°
Space group P4/mmm (No. 123)
Symmetry-distinct sites (fractional):
Pr: 0.0000 0.0000 0.0000 x1
Sm: 0.0000 0.5000 0.2698 x4
Hg: 0.0000 0.0000 0.5000 x1
Hg: 0.5000 0.5000 0.0000 x1
Hg: 0.5000 0.5000 0.5000 x1

Results
Energy of formation from the pure elements = -6.6 kcal/mol of atoms
V = 28.6 Å³/atom